# LiGa2Hg2 (GGA-PBE, optimized geometry)
# - Density: 7.7 g cm⁻³
# - DOS(E_F): 4.5 states/eV per cell
# - DFT formation energy: 0.011 eV per atom
# - Offset from the most stable computed form: 0.572 eV per formula unit
data_LiGa2Hg2
_chemical_formula_sum 'Li2 Ga4 Hg4'
_space_group_name_H-M_alt 'I 4/m m m'
_space_group_IT_number 139
_space_group_name_Hall '-I 4 2'
_cell_length_a 4.666
_cell_length_b 4.666
_cell_length_c 10.854
_cell_angle_alpha 90.00
_cell_angle_beta 90.00
_cell_angle_gamma 90.00
loop_
_atom_site_label
_atom_site_fract_x
_atom_site_fract_y
_atom_site_fract_z
Li1 0.000 0.000 0.000
Ga1 0.000 0.000 0.387
Hg1 0.000 0.500 0.250